(1)
A relaxed PuSnAs crystal, computed with PBE-GGA.

* uncorrected energy: -8.058 eV per atom
* theoretical density: 9.91 g/cm³
* total moment: 5.8 μB per formula unit
* SG: Cm

POSCAR file:
```
PuSnAs
1.0
4.014 -0.802 -0.653
1.240 6.107 0.133
-1.386 -1.024 5.907
Pu Sn As
2 2 2
Cartesian
0.790 -0.330 3.129
2.755 0.889 0.559
1.374 2.756 2.926
-0.061 4.176 5.538
3.501 3.967 1.367
3.322 0.678 4.317
```

---

(2)
A relaxed Nd8Sb2Pt crystal, computed with PBE-GGA.

* uncorrected energy: -5.355 eV per atom
* theoretical density: 7.56 g/cm³
* total moment: 0.0 μB per formula unit
* ΔE_f (raw): -0.589 eV/atom
* SG: C2/m

POSCAR file:
```
Nd8Sb2Pt
1.0
-2.612 -3.334 -2.071
4.609 0.298 -6.292
6.039 -5.097 5.954
Nd Pt Sb
8 1 2
Cartesian
6.093 -5.330 0.896
1.943 -2.803 -3.306
0.252 -3.721 0.306
7.784 -4.412 -2.715
3.643 -2.788 -0.106
4.393 -5.345 -2.303
4.376 -8.270 2.426
3.660 0.136 -4.835
-1.306 -1.667 -1.036
5.243 -2.246 -2.998
2.793 -5.888 0.588
```

---

(3)
A relaxed PrEr2Hf crystal, computed with PBE-GGA.

* distance to the lowest polymorph of the same formula: 104 meV/atom
* uncorrected energy: -5.747 eV per atom
* theoretical density: 9.10 g/cm³
* total moment: 0.0 μB per formula unit
* SG: P4/mmm

POSCAR file:
```
PrEr2Hf
1.0
-0.329 -2.807 -2.766
0.779 -2.767 2.716
-7.451 -0.616 1.510
Hf Pr Er
1 1 2
Cartesian
0.225 -2.787 -0.025
-3.500 -3.095 0.730
-5.866 -0.485 1.189
-1.585 -0.131 0.321
```

---

> Which formula does entry 2 have?

Nd8Sb2Pt

---

Please write out number 3 again, unchanged.
A relaxed PrEr2Hf crystal, computed with PBE-GGA.

* distance to the lowest polymorph of the same formula: 104 meV/atom
* uncorrected energy: -5.747 eV per atom
* theoretical density: 9.10 g/cm³
* total moment: 0.0 μB per formula unit
* SG: P4/mmm

POSCAR file:
```
PrEr2Hf
1.0
-0.329 -2.807 -2.766
0.779 -2.767 2.716
-7.451 -0.616 1.510
Hf Pr Er
1 1 2
Cartesian
0.225 -2.787 -0.025
-3.500 -3.095 0.730
-5.866 -0.485 1.189
-1.585 -0.131 0.321
```